No. 1
Here is a relaxed structure of LuPu2Hg from the Alexandria database. Energies are from GGA-PBE.

Cell: 4.392 4.392 5.260 Å, 90.00 90.00 90.00°
Space group P4/mmm (No. 123)
Unique sites:
Lu (0.000, 0.000, 0.000) (multiplicity 1)
Pu (0.000, 0.500, 0.500) (multiplicity 2)
Hg (0.500, 0.500, 0.000) (multiplicity 1)

Calculated values
Energy relative to the lowest polymorph listed for this composition (meV per atom): 0
DFT total energy (eV/f.u.): -33.7
Size of the total moment (μB per formula unit): 12.3
DOS(E_F) (states/eV per cell): 10.95
E_form (eV/atom): -0.045


No. 2
Here is a relaxed structure of PuNpGe2 from the Alexandria database. Energies are from GGA-PBE.

Cell: 7.058 7.058 7.058 Å, 90.00 90.00 90.00°
Space group Fm-3m (No. 225)
Unique sites:
Pu (0.000, 0.000, 0.000) (multiplicity 4)
Np (0.000, 0.000, 0.500) (multiplicity 4)
Ge (0.250, 0.250, 0.250) (multiplicity 8)

Calculated values
Energy relative to the lowest polymorph listed for this composition (meV per atom): 143
DFT total energy (eV/f.u.): -37.1
Size of the total moment (μB per formula unit): 1.4
DOS(E_F) (states/eV per cell): 49.46
E_form (eV/atom): -0.143